# 1
This record from Alexandria describes crystalline SrTm3Cd4 at its relaxed geometry. The functional is PBE.

abc: 5.3163 5.3163 7.6126
angles: 90.00 90.00 90.00
Last column: nearest neighbours and their distance in Å.
Atoms (fractional coordinates):
Sr 0.0000 0.0000 0.0000  8 Cd 3.34
Tm 0.0000 0.0000 0.5000  8 Cd 3.20
Tm 0.5000 0.5000 0.0000  8 Cd 3.34
Tm 0.5000 0.5000 0.5000  8 Cd 3.20
Cd 0.0000 0.5000 0.2666  6 Tm 3.20-3.34, 2 Sr 3.34, 1 Cd 3.55
Cd 0.0000 0.5000 0.7334  6 Tm 3.20-3.34, 2 Sr 3.34, 1 Cd 3.55
Cd 0.5000 0.0000 0.2666  6 Tm 3.20-3.34, 2 Sr 3.34, 1 Cd 3.55
Cd 0.5000 0.0000 0.7334  6 Tm 3.20-3.34, 2 Sr 3.34, 1 Cd 3.55

- energy of formation (eV/atom) = -0.28
- spin magnetization (μB per atom) = 0.0000
- density (g cm⁻³) = 8.1
- uncorrected energy (Ry/atom) = -0.193

---

# 2
This record from Alexandria describes crystalline SrTm2Cd3 at its relaxed geometry. The functional is PBE.

abc: 3.7746 3.7746 11.6055
angles: 90.00 90.00 90.00
Last column: nearest neighbours and their distance in Å.
Atoms (fractional coordinates):
Sr 0.0000 0.0000 0.0000  8 Cd 3.50, 4 Sr 3.77
Tm 0.0000 0.0000 0.3439  8 Cd 3.18-3.23
Tm 0.0000 0.0000 0.6561  8 Cd 3.18-3.23
Cd 0.5000 0.5000 0.1952  4 Tm 3.18, 4 Sr 3.50, 1 Cd 3.54
Cd 0.5000 0.5000 0.5000  8 Tm 3.23, 2 Cd 3.54
Cd 0.5000 0.5000 0.8048  4 Tm 3.18, 4 Sr 3.50, 1 Cd 3.54

- energy of formation (eV/atom) = -0.31
- spin magnetization (μB per atom) = 0.0000
- density (g cm⁻³) = 7.7
- uncorrected energy (Ry/atom) = -0.186

---

# 3
This record from Alexandria describes crystalline Sr2TmCd at its relaxed geometry. The functional is PBE.

abc: 12.5532 12.5532 12.5532
angles: 17.39 17.39 17.39
Last column: nearest neighbours and their distance in Å.
Atoms (fractional coordinates):
Sr 0.0951 0.0951 0.0951  3 Cd 3.44, 1 Tm 3.53, 6 Sr 3.79
Sr 0.9049 0.9049 0.9049  3 Cd 3.44, 1 Tm 3.53, 6 Sr 3.79
Tm 0.0000 0.0000 0.0000  2 Sr 3.53, 6 Tm 3.79
Cd 0.5000 0.5000 0.5000  6 Sr 3.44, 6 Cd 3.79

- excess energy over the best structure of this formula in the dataset (meV per atom) = 223
- energy of formation (eV/atom) = 0.25
- spin magnetization (μB per atom) = 0.1053
- density (g cm⁻³) = 4.9
- uncorrected energy (Ry/atom) = -0.142

---

# 4
This record from Alexandria describes crystalline Sr2TmCd4 at its relaxed geometry. The functional is PBE.

abc: 8.2522 8.2522 8.2522
angles: 140.77 140.77 56.69
Last column: nearest neighbours and their distance in Å.
Atoms (fractional coordinates):
Sr 0.2392 0.2392 0.0000  8 Cd 3.40-3.58, 1 Tm 3.79
Sr 0.7608 0.7608 0.0000  8 Cd 3.40-3.58, 1 Tm 3.79
Tm 0.5000 0.5000 0.0000  8 Cd 3.16
Cd 0.1042 0.6042 0.5000  1 Cd 3.03, 2 Tm 3.16
Cd 0.3958 0.8958 0.5000  1 Cd 3.03, 2 Tm 3.16
Cd 0.6042 0.1042 0.5000  1 Cd 3.03, 2 Tm 3.16
Cd 0.8958 0.3958 0.5000  1 Cd 3.03, 2 Tm 3.16

- energy of formation (eV/atom) = -0.15
- spin magnetization (μB per atom) = 0.0000
- density (g cm⁻³) = 5.9
- uncorrected energy (Ry/atom) = -0.132